(1)
A plane-wave DFT calculation with PBE was carried out for As2Ir after structural relaxation.

a = 3.004 Å, b = 3.004 Å, c = 11.811 Å
α = 90.00°, β = 90.00°, γ = 90.00°
Space group I4/mmm (No. 139)
Symmetry-distinct sites (fractional):
As 0.000 0.000 0.138
Ir 0.000 0.000 0.500

Values from the calculation:
Magnetization, Bohr magnetons per cell: 0.00
DOS at the Fermi energy, states/eV/f.u.: 1.903
E_form, eV per atom: 0.06
E_tot, eV per atom: -5.9965



(2)
A plane-wave DFT calculation with PBE was carried out for Mn2OsBr after structural relaxation.

a = 3.004 Å, b = 4.424 Å, c = 4.669 Å
α = 90.00°, β = 90.00°, γ = 90.00°
Space group Pmmm (No. 47)
Symmetry-distinct sites (fractional):
Mn 0.000 0.000 0.000
Mn 0.500 0.000 0.500
Os 0.000 0.500 0.500
Br 0.500 0.500 0.000

Values from the calculation:
Energy relative to the lowest polymorph listed for this composition, meV per atom: 641.3
Magnetization, Bohr magnetons per cell: 6.97
Raw formation energy, meV/atom: 945
DOS at the Fermi energy, states/eV/f.u.: 4.223
E_tot, eV per atom: -6.8653



(3)
A plane-wave DFT calculation with PBE was carried out for FeW after structural relaxation.

a = 4.754 Å, b = 4.843 Å, c = 9.323 Å
α = 90.00°, β = 90.00°, γ = 90.00°
Space group P2_12_12_1 (No. 19)
Symmetry-distinct sites (fractional):
Fe 0.118 0.112 0.226
Fe 0.174 0.383 0.440
W 0.126 0.371 0.698
W 0.127 0.897 0.489

Values from the calculation:
Magnetization, Bohr magnetons per cell: 0.00
DOS at the Fermi energy, states/eV/f.u.: 2.276
E_form, eV per atom: 0.16
E_tot, eV per atom: -10.5469



(4)
A plane-wave DFT calculation with PBE was carried out for Sb2MoBr after structural relaxation.

a = 9.840 Å, b = 3.429 Å, c = 7.101 Å
α = 90.00°, β = 107.65°, γ = 90.00°
Space group Cm (No. 8)
Symmetry-distinct sites (fractional):
Sb 0.000 0.000 0.000
Sb 0.158 0.000 0.705
Mo 0.437 0.000 0.672
Br 0.310 0.500 0.382

Values from the calculation:
Energy relative to the lowest polymorph listed for this composition, meV per atom: 30.6
Magnetization, Bohr magnetons per cell: 1.47
Raw formation energy, meV/atom: 107
DOS at the Fermi energy, states/eV/f.u.: 2.930
E_tot, eV per atom: -5.0806



(5)
A plane-wave DFT calculation with PBE was carried out for KTl2Bi after structural relaxation.

a = 5.123 Å, b = 5.123 Å, c = 5.064 Å
α = 90.00°, β = 90.00°, γ = 90.00°
Space group P4/mmm (No. 123)
Symmetry-distinct sites (fractional):
K 0.000 0.000 0.000
Tl 0.000 0.500 0.500
Bi 0.500 0.500 0.000

Values from the calculation:
Energy relative to the lowest polymorph listed for this composition, meV per atom: 98.6
Magnetization, Bohr magnetons per cell: 0.00
DOS at the Fermi energy, states/eV/f.u.: 2.629
E_form, eV per atom: -0.11
E_tot, eV per atom: -2.5362



(6)
A plane-wave DFT calculation with PBE was carried out for LiYHf after structural relaxation.

a = 5.3081 Å, b = 5.3081 Å, c = 6.0124 Å
α = 90.00°, β = 90.00°, γ = 120.00°
Space group P6_3/mmc (No. 194)
Symmetry-distinct sites (fractional):
Li 0.0000 0.0000 0.0000
Y 0.3333 0.6667 0.2500
Hf 0.3333 0.6667 0.7500

Values from the calculation:
Energy relative to the lowest polymorph listed for this composition, meV per atom: 506.9
Magnetization, Bohr magnetons per cell: 0.00
DOS at the Fermi energy, states/eV/f.u.: 3.338
E_form, eV per atom: 0.61
E_tot, eV per atom: -5.5047



(7)
A plane-wave DFT calculation with PBE was carried out for CrOsRh6 after structural relaxation.

a = 4.877 Å, b = 4.885 Å, c = 4.893 Å
α = 93.79°, β = 93.76°, γ = 93.91°
Space group P-1 (No. 2)
Symmetry-distinct sites (fractional):
Cr 0.000 0.000 0.000
Os 0.500 0.500 0.500
Rh 0.025 0.456 0.749
Rh 0.251 0.973 0.546
Rh 0.456 0.749 0.026

Values from the calculation:
Energy relative to the lowest polymorph listed for this composition, meV per atom: 196.7
Magnetization, Bohr magnetons per cell: 1.11
DOS at the Fermi energy, states/eV/f.u.: 10.336
E_form, eV per atom: 0.18
E_tot, eV per atom: -7.9449



(8)
A plane-wave DFT calculation with PBE was carried out for Ba3AlGe after structural relaxation.

a = 6.365 Å, b = 6.365 Å, c = 6.365 Å
α = 90.00°, β = 90.00°, γ = 90.00°
Space group Pm-3m (No. 221)
Symmetry-distinct sites (fractional):
Ba 0.000 0.000 0.500
Al 0.500 0.500 0.500
Ge 0.000 0.000 0.000

Values from the calculation:
Energy relative to the lowest polymorph listed for this composition, meV per atom: 317.5
Magnetization, Bohr magnetons per cell: 2.69
DOS at the Fermi energy, states/eV/f.u.: 6.517
E_form, eV per atom: 0.06
E_tot, eV per atom: -2.7618



- Look up the DOS at the Fermi energy of the fifth one.
  2.629 states/eV/f.u.